# 1
Density functional theory data (PBE) for a relaxed Ta2Al crystal.

Unit cell a=6.148 b=6.148 c=6.148 alpha=90.00 beta=90.00 gamma=90.00
Positions (direct):
Ta: 0.133 0.133 0.133
Ta: 0.133 0.367 0.633
Ta: 0.367 0.633 0.133
Ta: 0.367 0.867 0.633
Ta: 0.633 0.133 0.367
Ta: 0.633 0.367 0.867
Ta: 0.867 0.633 0.367
Ta: 0.867 0.867 0.867
Al: 0.000 0.000 0.500
Al: 0.000 0.500 0.000
Al: 0.500 0.000 0.000
Al: 0.500 0.500 0.500

* total magnetization: 0.000 μB/f.u.
* space group: Pa-3
* calculated formation energy: 0.82 eV per atom
* uncorrected energy: -8.32 eV/atom
* DOS(E_F): 11.939 states/eV per cell



# 2
Density functional theory data (PBE) for a relaxed TaAl crystal.

Unit cell a=5.429 b=5.429 c=7.192 alpha=107.22 beta=107.22 gamma=30.84
Positions (direct):
Ta: 0.000 0.000 0.000
Ta: 0.349 0.349 0.645
Ta: 0.621 0.621 0.705
Al: 0.280 0.280 0.040
Al: 0.671 0.671 0.317
Al: 0.953 0.953 0.370

* total magnetization: 0.000 μB/f.u.
* space group: Cm
* calculated formation energy: -0.08 eV per atom
* uncorrected energy: -7.88 eV/atom
* DOS(E_F): 4.274 states/eV per cell



# 3
Density functional theory data (PBE) for a relaxed Ta2Al crystal.

Unit cell a=9.749 b=9.749 c=9.749 alpha=159.36 beta=159.36 gamma=29.34
Positions (direct):
Ta: 0.305 0.555 0.750
Ta: 0.445 0.695 0.750
Ta: 0.555 0.305 0.250
Ta: 0.695 0.445 0.250
Al: 0.125 0.875 0.250
Al: 0.875 0.125 0.750

* total magnetization: 0.000 μB/f.u.
* space group: I4_1/amd
* calculated formation energy: 0.60 eV per atom
* uncorrected energy: -8.55 eV/atom
* DOS(E_F): 4.368 states/eV per cell



DOS(E_F) of number 1 (Ta2Al)?
11.939 states/eV per cell